1.
This record from Alexandria describes crystalline NpTl3Cr2Se6 at its relaxed geometry. The functional is GGA-PBE.

## Properties
For the density, the calculation gives 7.7 g/cm3. As for the formation energy from raw total energies: -0.592 eV per atom.

Structure (CIF):
```
data_NpTl3Cr2Se6
_space_group_name_H-M_alt 'P 1'
_space_group_IT_number 1
_cell_length_a 6.7088
_cell_length_b 6.7088
_cell_length_c 8.2383
_cell_angle_alpha 97.97
_cell_angle_beta 97.97
_cell_angle_gamma 119.90
loop_
_space_group_symop_operation_xyz
'x,y,z'
loop_
_atom_site_label
_atom_site_fract_x
_atom_site_fract_y
_atom_site_fract_z
_atom_site_occupancy
Se1 0.7001 0.7001 0.1831 1
Se2 0.2999 0.2999 0.8169 1
Se3 0.9368 0.5750 0.8123 1
Se4 0.5750 0.9368 0.8123 1
Se5 0.0632 0.4250 0.1877 1
Se6 0.4250 0.0632 0.1877 1
Tl1 0.8405 0.1595 0.5000 1
Tl2 0.5000 0.5000 0.5000 1
Tl3 0.1595 0.8405 0.5000 1
Np1 0.0000 0.0000 0.0000 1
Cr1 0.3333 0.6667 0.0000 1
Cr2 0.6667 0.3333 0.0000 1
```

2.
This record from Alexandria describes crystalline ZrSn2I at its relaxed geometry. The functional is GGA-PBE.

## Properties
Its energy above the most stable polymorph in this dataset is 0 meV per atom. For the density, the calculation gives 6.9 g/cm3. As for the formation energy from raw total energies: 0.200 eV per atom.

Structure (CIF):
```
data_ZrSn2I
_space_group_name_H-M_alt 'P 1'
_space_group_IT_number 1
_cell_length_a 4.3242
_cell_length_b 4.3242
_cell_length_c 12.0845
_cell_angle_alpha 79.69
_cell_angle_beta 79.69
_cell_angle_gamma 90.00
loop_
_space_group_symop_operation_xyz
'x,y,z'
loop_
_atom_site_label
_atom_site_fract_x
_atom_site_fract_y
_atom_site_fract_z
_atom_site_occupancy
Sn1 0.8750 0.8618 0.7500 1
Sn2 0.6118 0.1250 0.2500 1
Sn3 0.3750 0.3882 0.7500 1
Sn4 0.1382 0.6250 0.2500 1
Zr1 0.5000 0.5000 0.0000 1
Zr2 0.2500 0.7500 0.5000 1
I1 0.7500 0.2500 0.5000 1
I2 0.0000 0.0000 0.0000 1
```

3.
This record from Alexandria describes crystalline SmSi4Pt4 at its relaxed geometry. The functional is GGA-PBE.

## Properties
For the density, the calculation gives 11.3 g/cm3. As for the formation energy from raw total energies: -0.746 eV per atom.

Structure (CIF):
```
data_SmSi4Pt4
_space_group_name_H-M_alt 'P 1'
_space_group_IT_number 1
_cell_length_a 6.1874
_cell_length_b 6.1874
_cell_length_c 7.9923
_cell_angle_alpha 90.00
_cell_angle_beta 90.00
_cell_angle_gamma 90.00
loop_
_space_group_symop_operation_xyz
'x,y,z'
loop_
_atom_site_label
_atom_site_fract_x
_atom_site_fract_y
_atom_site_fract_z
_atom_site_occupancy
Si1 0.2154 0.5000 0.1779 1
Si2 0.2846 0.0000 0.3221 1
Si3 0.7846 0.5000 0.1779 1
Si4 0.7154 0.0000 0.3221 1
Si5 0.0000 0.7154 0.6779 1
Si6 0.5000 0.7846 0.8221 1
Si7 0.5000 0.2154 0.8221 1
Si8 0.0000 0.2846 0.6779 1
Sm1 0.5000 0.5000 0.5000 1
Sm2 0.0000 0.0000 0.0000 1
Pt1 0.0000 0.2757 0.3741 1
Pt2 0.2243 0.5000 0.8741 1
Pt3 0.7243 0.0000 0.6259 1
Pt4 0.5000 0.7757 0.1259 1
Pt5 0.0000 0.7243 0.3741 1
Pt6 0.5000 0.2243 0.1259 1
Pt7 0.7757 0.5000 0.8741 1
Pt8 0.2757 0.0000 0.6259 1
```

4.
This record from Alexandria describes crystalline Ce2BeN3 at its relaxed geometry. The functional is GGA-PBE.

## Properties
For the density, the calculation gives 6.8 g/cm3. As for the formation energy from raw total energies: -1.276 eV per atom.

Structure (CIF):
```
data_Ce2BeN3
_space_group_name_H-M_alt 'P 1'
_space_group_IT_number 1
_cell_length_a 5.6212
_cell_length_b 5.6212
_cell_length_c 6.3113
_cell_angle_alpha 68.59
_cell_angle_beta 68.59
_cell_angle_gamma 63.80
loop_
_space_group_symop_operation_xyz
'x,y,z'
loop_
_atom_site_label
_atom_site_fract_x
_atom_site_fract_y
_atom_site_fract_z
_atom_site_occupancy
N1 0.8191 0.8635 0.4402 1
N2 0.3935 0.6065 0.2500 1
N3 0.1809 0.1365 0.5598 1
N4 0.1365 0.1809 0.0598 1
N5 0.8635 0.8191 0.9402 1
N6 0.6065 0.3935 0.7500 1
Ce1 0.4863 0.8377 0.8117 1
Ce2 0.1623 0.5137 0.6883 1
Ce3 0.8377 0.4863 0.3117 1
Ce4 0.5137 0.1623 0.1883 1
Be1 0.1063 0.8937 0.2500 1
Be2 0.8937 0.1063 0.7500 1
```

5.
This record from Alexandria describes crystalline Dy2ScTe at its relaxed geometry. The functional is GGA-PBE.

## Properties
Its energy above the most stable polymorph in this dataset is 0 meV per atom. For the density, the calculation gives 7.6 g/cm3. As for the formation energy from raw total energies: -0.560 eV per atom.

Structure (CIF):
```
data_Dy2ScTe
_space_group_name_H-M_alt 'P 1'
_space_group_IT_number 1
_cell_length_a 3.9354
_cell_length_b 3.9354
_cell_length_c 7.0523
_cell_angle_alpha 90.00
_cell_angle_beta 90.00
_cell_angle_gamma 90.00
loop_
_space_group_symop_operation_xyz
'x,y,z'
loop_
_atom_site_label
_atom_site_fract_x
_atom_site_fract_y
_atom_site_fract_z
_atom_site_occupancy
Dy1 0.0000 0.0000 0.7447 1
Dy2 0.0000 0.0000 0.2553 1
Te1 0.5000 0.5000 0.5000 1
Sc1 0.5000 0.5000 0.0000 1
```

6.
This record from Alexandria describes crystalline Pr2SmGa at its relaxed geometry. The functional is GGA-PBE.

## Properties
Its energy above the most stable polymorph in this dataset is 7 meV per atom. As for the formation energy: -0.23 eV per atom. For the density, the calculation gives 7.2 g/cm3.

Structure (CIF):
```
data_Pr2SmGa
_space_group_name_H-M_alt 'P 1'
_space_group_IT_number 1
_cell_length_a 4.8824
_cell_length_b 4.8626
_cell_length_c 4.8626
_cell_angle_alpha 90.00
_cell_angle_beta 90.00
_cell_angle_gamma 90.00
loop_
_space_group_symop_operation_xyz
'x,y,z'
loop_
_atom_site_label
_atom_site_fract_x
_atom_site_fract_y
_atom_site_fract_z
_atom_site_occupancy
Pr1 0.0000 0.0000 0.5000 1
Pr2 0.0000 0.5000 0.0000 1
Ga1 0.5000 0.5000 0.5000 1
Sm1 0.5000 0.0000 0.0000 1
```

7.
This record from Alexandria describes crystalline LaMnAg2 at its relaxed geometry. The functional is GGA-PBE.

## Properties
As for the formation energy: 0.22 eV per atom. For the density, the calculation gives 7.6 g/cm3.

Structure (CIF):
```
data_LaMnAg2
_space_group_name_H-M_alt 'P 1'
_space_group_IT_number 1
_cell_length_a 4.3675
_cell_length_b 4.4028
_cell_length_c 4.6469
_cell_angle_alpha 90.00
_cell_angle_beta 90.00
_cell_angle_gamma 90.00
loop_
_space_group_symop_operation_xyz
'x,y,z'
loop_
_atom_site_label
_atom_site_fract_x
_atom_site_fract_y
_atom_site_fract_z
_atom_site_occupancy
Ag1 0.5000 0.5000 0.0000 1
Ag2 0.0000 0.0000 0.0000 1
La1 0.5000 0.0000 0.5000 1
Mn1 0.0000 0.5000 0.5000 1
```

8.
This record from Alexandria describes crystalline TiP2PbS at its relaxed geometry. The functional is GGA-PBE.

## Properties
Its energy above the most stable polymorph in this dataset is 1405 meV per atom. For the density, the calculation gives 4.5 g/cm3. As for the formation energy from raw total energies: 1.262 eV per atom.

Structure (CIF):
```
data_TiP2PbS
_space_group_name_H-M_alt 'P 1'
_space_group_IT_number 1
_cell_length_a 5.0533
_cell_length_b 5.0533
_cell_length_c 5.0950
_cell_angle_alpha 90.00
_cell_angle_beta 90.00
_cell_angle_gamma 90.00
loop_
_space_group_symop_operation_xyz
'x,y,z'
loop_
_atom_site_label
_atom_site_fract_x
_atom_site_fract_y
_atom_site_fract_z
_atom_site_occupancy
P1 0.5000 0.0000 0.0000 1
P2 0.0000 0.5000 0.0000 1
Ti1 0.5000 0.5000 0.5000 1
S1 0.0000 0.0000 0.5000 1
Pb1 0.0000 0.0000 0.0000 1
```

9.
This record from Alexandria describes crystalline SrMgAg4Sn2 at its relaxed geometry. The functional is GGA-PBE.

## Properties
As for the formation energy: -0.22 eV per atom. For the density, the calculation gives 7.1 g/cm3.

Structure (CIF):
```
data_SrMgAg4Sn2
_space_group_name_H-M_alt 'P 1'
_space_group_IT_number 1
_cell_length_a 4.8038
_cell_length_b 4.8038
_cell_length_c 9.5723
_cell_angle_alpha 75.47
_cell_angle_beta 75.47
_cell_angle_gamma 60.00
loop_
_space_group_symop_operation_xyz
'x,y,z'
loop_
_atom_site_label
_atom_site_fract_x
_atom_site_fract_y
_atom_site_fract_z
_atom_site_occupancy
Sn1 0.7518 0.7518 0.7446 1
Sn2 0.2482 0.2482 0.2554 1
Ag1 0.1385 0.1385 0.5844 1
Ag2 0.5991 0.5991 0.2028 1
Ag3 0.8615 0.8615 0.4156 1
Ag4 0.4009 0.4009 0.7972 1
Mg1 0.5000 0.5000 0.5000 1
Sr1 0.0000 0.0000 0.0000 1
```

10.
This record from Alexandria describes crystalline LiTcSb2 at its relaxed geometry. The functional is GGA-PBE.

## Properties
Its energy above the most stable polymorph in this dataset is 518 meV per atom. For the density, the calculation gives 4.8 g/cm3. As for the formation energy from raw total energies: 0.346 eV per atom.

Structure (CIF):
```
data_LiTcSb2
_space_group_name_H-M_alt 'P 1'
_space_group_IT_number 1
_cell_length_a 6.5078
_cell_length_b 6.5078
_cell_length_c 7.3030
_cell_angle_alpha 63.54
_cell_angle_beta 63.54
_cell_angle_gamma 90.00
loop_
_space_group_symop_operation_xyz
'x,y,z'
loop_
_atom_site_label
_atom_site_fract_x
_atom_site_fract_y
_atom_site_fract_z
_atom_site_occupancy
Li1 0.5000 0.5000 0.0000 1
Li2 0.2500 0.7500 0.5000 1
Tc1 0.0000 0.0000 0.0000 1
Tc2 0.7500 0.2500 0.5000 1
Sb1 0.6642 0.1250 0.2500 1
Sb2 0.0858 0.6250 0.2500 1
Sb3 0.8750 0.9142 0.7500 1
Sb4 0.3750 0.3358 0.7500 1
```

11.
This record from Alexandria describes crystalline LiMgIn2Co at its relaxed geometry. The functional is GGA-PBE.

## Properties
As for the formation energy: 0.02 eV per atom. For the density, the calculation gives 4.6 g/cm3.

Structure (CIF):
```
data_LiMgIn2Co
_space_group_name_H-M_alt 'P 1'
_space_group_IT_number 1
_cell_length_a 4.9139
_cell_length_b 4.9139
_cell_length_c 4.8316
_cell_angle_alpha 90.00
_cell_angle_beta 90.00
_cell_angle_gamma 90.00
loop_
_space_group_symop_operation_xyz
'x,y,z'
loop_
_atom_site_label
_atom_site_fract_x
_atom_site_fract_y
_atom_site_fract_z
_atom_site_occupancy
Mg1 0.0000 0.0000 0.5000 1
Co1 0.0000 0.0000 0.0000 1
In1 0.5000 0.0000 0.0000 1
In2 0.0000 0.5000 0.0000 1
Li1 0.5000 0.5000 0.5000 1
```

12.
This record from Alexandria describes crystalline Pr4Nd3TmTe8 at its relaxed geometry. The functional is GGA-PBE.

## Properties
For the density, the calculation gives 7.1 g/cm3. As for the formation energy from raw total energies: -1.394 eV per atom.

Structure (CIF):
```
data_Pr4Nd3TmTe8
_space_group_name_H-M_alt 'P 1'
_space_group_IT_number 1
_cell_length_a 8.9605
_cell_length_b 9.0122
_cell_length_c 8.9607
_cell_angle_alpha 119.81
_cell_angle_beta 120.00
_cell_angle_gamma 90.00
loop_
_space_group_symop_operation_xyz
'x,y,z'
loop_
_atom_site_label
_atom_site_fract_x
_atom_site_fract_y
_atom_site_fract_z
_atom_site_occupancy
Pr1 0.5000 0.0000 0.0000 1
Pr2 0.5000 0.0000 0.5000 1
Pr3 0.0000 0.0000 0.5000 1
Pr4 0.0000 0.0000 0.0000 1
Nd1 0.5000 0.5000 0.0000 1
Nd2 0.0000 0.5000 0.5000 1
Nd3 0.5000 0.5000 0.5000 1
Te1 0.7555 0.7411 0.9983 1
Te2 0.2445 0.2589 0.0017 1
Te3 0.2428 0.7411 0.4856 1
Te4 0.7572 0.2589 0.5144 1
Te5 0.2428 0.7411 0.9983 1
Te6 0.2509 0.2526 0.5018 1
Te7 0.7491 0.7474 0.4982 1
Te8 0.7572 0.2589 0.0017 1
Tm1 0.0000 0.5000 0.0000 1
```

Volume for the records above, in order: 25.7, 27.3, 17.0, 13.5, 27.3, 28.9, 22.3, 26.0, 22.9, 30.0, 23.3, 32.1 Å³/atom